one:
Entry from the Alexandria database: a relaxed structure of Hf3ScZn (PBE-GGA).

POSCAR file:
```
Hf3ScZn
1.0
4.978 0.000 0.000
0.000 4.978 0.000
0.000 0.000 4.978
Sc Hf Zn
1 3 1
direct
0.000 0.000 0.000 Sc
0.500 0.000 0.000 Hf
0.000 0.500 0.000 Hf
0.000 0.000 0.500 Hf
0.500 0.500 0.500 Zn
```

***

two:
Entry from the Alexandria database: a relaxed structure of Hf3ScZn (PBE-GGA).

POSCAR file:
```
Hf3ScZn
1.0
-4.854 0.739 0.810
-0.961 -1.097 -4.757
-0.528 -4.797 1.213
Sc Hf Zn
1 3 1
direct
0.500 0.500 0.500 Sc
0.000 0.500 0.000 Hf
0.500 0.000 0.000 Hf
0.000 0.000 0.500 Hf
0.000 0.000 0.000 Zn
```

***

The relative energies come out as one 706; two 0, with values in meV/atom.

***

one:
Entry from the Alexandria database: a relaxed structure of HfSc2Zn2 (PBE-GGA).

POSCAR file:
```
HfSc2Zn2
1.0
-3.348 -6.351 2.761
2.460 -3.958 -6.120
2.822 -0.776 1.636
Zn Sc Hf
4 4 2
direct
0.875 0.625 0.000 Zn
0.625 0.125 0.000 Zn
0.125 0.375 0.000 Zn
0.375 0.875 0.000 Zn
0.326 0.174 0.500 Sc
0.674 0.826 0.500 Sc
0.174 0.674 0.500 Sc
0.826 0.326 0.500 Sc
0.500 0.500 0.000 Hf
0.000 0.000 0.000 Hf
```

***

two:
Entry from the Alexandria database: a relaxed structure of HfSc2Zn2 (PBE-GGA).

POSCAR file:
```
HfSc2Zn2
1.0
-0.191 -3.934 -1.080
3.905 0.136 -1.187
3.679 -3.580 4.666
Zn Sc Hf
2 2 1
direct
0.750 0.250 0.500 Zn
0.250 0.750 0.500 Zn
0.609 0.609 0.782 Sc
0.391 0.391 0.218 Sc
0.000 0.000 0.000 Hf
```

***

The relative energies come out as one 0; two 393, with values in meV/atom.

***

one:
Entry from the Alexandria database: a relaxed structure of HfSc2Zn2 (PBE-GGA).

POSCAR file:
```
HfSc2Zn2
1.0
-0.866 -0.094 -3.209
-3.610 -2.913 1.059
-6.891 9.739 3.295
Hf Zn Sc
2 4 4
direct
0.148 0.250 0.297 Hf
0.852 0.750 0.703 Hf
0.641 0.750 0.283 Zn
0.449 0.750 0.898 Zn
0.551 0.250 0.102 Zn
0.359 0.250 0.717 Zn
0.236 0.750 0.472 Sc
0.764 0.250 0.528 Sc
0.955 0.250 0.908 Sc
0.045 0.750 0.092 Sc
```

***

two:
Entry from the Alexandria database: a relaxed structure of HfSc2Zn2 (PBE-GGA).

POSCAR file:
```
HfSc2Zn2
1.0
7.988 0.000 0.000
0.000 7.988 0.000
0.000 0.000 3.088
Zn Sc Hf
4 4 2
direct
0.834 0.334 0.500 Zn
0.334 0.166 0.500 Zn
0.166 0.666 0.500 Zn
0.666 0.834 0.500 Zn
0.366 0.866 0.000 Sc
0.866 0.634 0.000 Sc
0.134 0.366 0.000 Sc
0.634 0.134 0.000 Sc
0.000 0.000 0.000 Hf
0.500 0.500 0.000 Hf
```

***

The relative energies come out as one 0; two 205, with values in meV/atom.